# 1
LiCN2 | PBE | optimized geometry

a = 4.3809 Å, b = 4.3809 Å, c = 4.3809 Å
α = 121.68°, β = 121.68°, γ = 87.11°
Positions (direct):
Li: 0.0000 0.0000 0.0000
Li: 0.7500 0.2500 0.5000
C: 0.2500 0.7500 0.5000
C: 0.5000 0.5000 0.0000
N: 0.2236 0.6250 0.0986
N: 0.3750 0.4736 0.5986
N: 0.5264 0.1250 0.9014
N: 0.8750 0.7764 0.4014

Calculated values
Uncorrected energy, eV per cell: -53.3
Formation energy (no corrections), eV per atom: 0.2862

# 2
LiC2N2 | PBE | optimized geometry

a = 5.9694 Å, b = 5.9694 Å, c = 2.3489 Å
α = 90.00°, β = 90.00°, γ = 90.00°
Positions (direct):
Li: 0.0000 0.0000 0.0000
Li: 0.5000 0.5000 0.0000
C: 0.0835 0.4165 0.0000
C: 0.4165 0.9165 0.0000
C: 0.5835 0.0835 0.0000
C: 0.9165 0.5835 0.0000
N: 0.1688 0.3312 0.5000
N: 0.3312 0.8312 0.5000
N: 0.6688 0.1688 0.5000
N: 0.8312 0.6688 0.5000

Calculated values
Uncorrected energy, eV per cell: -74.4
Formation energy (no corrections), eV per atom: -0.0397

# 3
LiC3N | PBE | optimized geometry

a = 3.5909 Å, b = 3.5909 Å, c = 3.5909 Å
α = 90.00°, β = 90.00°, γ = 90.00°
Positions (direct):
Li: 0.0000 0.0000 0.0000
C: 0.0000 0.0000 0.5000
C: 0.0000 0.5000 0.0000
C: 0.5000 0.0000 0.0000
N: 0.5000 0.5000 0.5000

Calculated values
Uncorrected energy, eV per cell: -17.9
Formation energy (no corrections), eV per atom: 4.0005

# 4
LiC2N2 | PBE | optimized geometry

a = 6.2158 Å, b = 6.2158 Å, c = 3.4828 Å
α = 94.50°, β = 94.50°, γ = 106.57°
Positions (direct):
Li: 0.1385 0.8615 0.0000
Li: 0.8615 0.1385 0.0000
C: 0.3594 0.3594 0.3034
C: 0.3820 0.6180 0.5000
C: 0.6180 0.3820 0.5000
C: 0.6406 0.6406 0.6966
N: 0.2076 0.2076 0.1337
N: 0.2612 0.7388 0.5000
N: 0.7388 0.2612 0.5000
N: 0.7924 0.7924 0.8663

Calculated values
Uncorrected energy, eV per cell: -72.6
Formation energy (no corrections), eV per atom: 0.1418

# 5
Li3CN3 | PBE | optimized geometry

a = 6.2987 Å, b = 6.2987 Å, c = 4.1229 Å
α = 90.00°, β = 90.00°, γ = 120.00°
Positions (direct):
Li: 0.1690 0.3380 0.2500
Li: 0.1690 0.8310 0.2500
Li: 0.3380 0.1690 0.7500
Li: 0.6620 0.8310 0.2500
Li: 0.8310 0.1690 0.7500
Li: 0.8310 0.6620 0.7500
C: 0.3333 0.6667 0.7500
C: 0.6667 0.3333 0.2500
N: 0.2102 0.4205 0.7500
N: 0.2102 0.7898 0.7500
N: 0.4205 0.2102 0.2500
N: 0.5795 0.7898 0.7500
N: 0.7898 0.2102 0.2500
N: 0.7898 0.5795 0.2500

Calculated values
Uncorrected energy, eV per cell: -82.0
Formation energy (no corrections), eV per atom: -0.1507

# 6
LiC2N2 | PBE | optimized geometry

a = 3.6342 Å, b = 3.6342 Å, c = 3.6342 Å
α = 126.27°, β = 126.27°, γ = 79.44°
Positions (direct):
Li: 0.0000 0.0000 0.0000
C: 0.3551 0.3551 0.0000
C: 0.6449 0.6449 0.0000
N: 0.2500 0.7500 0.5000
N: 0.7500 0.2500 0.5000

Calculated values
Uncorrected energy, eV per cell: -29.6
Formation energy (no corrections), eV per atom: 1.4782

# 7
Li2CN2 | PBE | optimized geometry

a = 6.7769 Å, b = 6.7769 Å, c = 4.6710 Å
α = 90.00°, β = 90.00°, γ = 158.69°
Positions (direct):
Li: 0.0294 0.9706 0.5000
Li: 0.1960 0.8040 0.3664
Li: 0.8040 0.1960 0.8664
Li: 0.9706 0.0294 0.0000
C: 0.3697 0.6303 0.4612
C: 0.6303 0.3697 0.9612
N: 0.1626 0.8374 0.8115
N: 0.4184 0.5816 0.6996
N: 0.5816 0.4184 0.1996
N: 0.8374 0.1626 0.3115

Calculated values
Uncorrected energy, eV per cell: -62.1
Formation energy (no corrections), eV per atom: -0.2725

# 8
Li3CN3 | PBE | optimized geometry

a = 5.2531 Å, b = 5.2531 Å, c = 5.2531 Å
α = 116.45°, β = 116.45°, γ = 116.45°
Positions (direct):
Li: 0.0153 0.4923 0.4923
Li: 0.4923 0.0153 0.4923
Li: 0.4923 0.4923 0.0153
C: 0.1654 0.1654 0.1654
N: 0.0833 0.0833 0.3446
N: 0.0833 0.3446 0.0833
N: 0.3446 0.0833 0.0833

Calculated values
Uncorrected energy, eV per cell: -40.9
Formation energy (no corrections), eV per atom: -0.1416

# 9
Li2C2N3 | PBE | optimized geometry

a = 5.1156 Å, b = 5.1156 Å, c = 4.5129 Å
α = 96.89°, β = 96.89°, γ = 27.46°
Positions (direct):
Li: 0.1716 0.1716 0.2641
Li: 0.8284 0.8284 0.7359
C: 0.4063 0.4063 0.1829
C: 0.5937 0.5937 0.8171
N: 0.1480 0.1480 0.7152
N: 0.5000 0.5000 0.0000
N: 0.8520 0.8520 0.2848

Calculated values
Uncorrected energy, eV per cell: -47.6
Formation energy (no corrections), eV per atom: -0.0477

# 10
LiCN2 | PBE | optimized geometry

a = 5.3718 Å, b = 5.3718 Å, c = 5.3718 Å
α = 33.68°, β = 33.68°, γ = 33.68°
Positions (direct):
Li: 0.0000 0.0000 0.0000
C: 0.5000 0.5000 0.5000
N: 0.4190 0.4190 0.4190
N: 0.5810 0.5810 0.5810

Calculated values
Uncorrected energy, eV per cell: -27.9
Formation energy (no corrections), eV per atom: -0.0268

# 11
LiC3N | PBE | optimized geometry

a = 3.4769 Å, b = 3.4769 Å, c = 3.4769 Å
α = 90.00°, β = 90.00°, γ = 90.00°
Positions (direct):
Li: 0.0000 0.0000 0.0000
C: 0.0000 0.5000 0.5000
C: 0.5000 0.0000 0.5000
C: 0.5000 0.5000 0.0000
N: 0.5000 0.5000 0.5000

Calculated values
Uncorrected energy, eV per cell: -22.3
Formation energy (no corrections), eV per atom: 3.1122

# 12
LiC2N | PBE | optimized geometry

a = 4.2420 Å, b = 4.2420 Å, c = 4.2420 Å
α = 112.80°, β = 112.80°, γ = 103.00°
Positions (direct):
Li: 0.0000 0.0000 0.0000
Li: 0.7500 0.2500 0.5000
C: 0.2128 0.6250 0.0878
C: 0.3750 0.4628 0.5878
C: 0.5372 0.1250 0.9122
C: 0.8750 0.7872 0.4122
N: 0.2500 0.7500 0.5000
N: 0.5000 0.5000 0.0000

Calculated values
Uncorrected energy, eV per cell: -45.2
Formation energy (no corrections), eV per atom: 1.5278

# 13
Na2LiCN2 | PBE | optimized geometry

a = 4.1453 Å, b = 16.8333 Å, c = 3.2504 Å
α = 90.00°, β = 90.00°, γ = 90.00°
Positions (direct):
Na: 0.1582 0.1582 0.0000
Na: 0.3418 0.6582 0.5000
Na: 0.6582 0.3418 0.5000
Na: 0.8418 0.8418 0.0000
Li: 0.0000 0.5000 0.5000
Li: 0.5000 0.0000 0.0000
C: 0.0000 0.0000 0.5000
C: 0.5000 0.5000 0.0000
N: 0.2061 0.0536 0.5000
N: 0.2939 0.5536 0.0000
N: 0.7061 0.4464 0.0000
N: 0.7939 0.9464 0.5000

Calculated values
Uncorrected energy, eV per cell: -64.9
Formation energy (no corrections), eV per atom: -0.3372

# 14
LiNd2C2N6 | PBE | optimized geometry

a = 5.8301 Å, b = 5.8330 Å, c = 6.3422 Å
α = 65.84°, β = 65.95°, γ = 71.45°
Positions (direct):
Li: 0.0000 0.0000 0.0000
Nd: 0.3279 0.3285 0.3118
Nd: 0.6721 0.6715 0.6882
C: 0.2874 0.2867 0.7887
C: 0.7126 0.7133 0.2113
N: 0.0670 0.3890 0.7365
N: 0.3895 0.3904 0.8752
N: 0.3928 0.0677 0.7348
N: 0.6072 0.9323 0.2652
N: 0.6105 0.6096 0.1248
N: 0.9330 0.6110 0.2635

Calculated values
Uncorrected energy, eV per cell: -83.2
Formation energy (no corrections), eV per atom: -0.3004

# 15
LiNd3C2N6 | PBE | optimized geometry

a = 5.4150 Å, b = 5.4150 Å, c = 6.1254 Å
α = 90.00°, β = 90.00°, γ = 120.00°
Positions (direct):
Li: 0.0000 0.0000 0.0000
Nd: 0.0000 0.0000 0.5000
Nd: 0.3333 0.6667 0.1620
Nd: 0.6667 0.3333 0.8380
C: 0.3333 0.6667 0.7544
C: 0.6667 0.3333 0.2456
N: 0.1881 0.3763 0.7731
N: 0.1881 0.8119 0.7731
N: 0.3763 0.1881 0.2269
N: 0.6237 0.8119 0.7731
N: 0.8119 0.1881 0.2269
N: 0.8119 0.6237 0.2269

Calculated values
Uncorrected energy, eV per cell: -94.1
Formation energy (no corrections), eV per atom: -0.7908

# 16
LiNdCN2 | PBE | optimized geometry

a = 5.7789 Å, b = 3.6386 Å, c = 5.9850 Å
α = 90.00°, β = 103.54°, γ = 90.00°
Positions (direct):
Li: 0.0000 0.0190 0.2500
Li: 0.0000 0.9810 0.7500
Nd: 0.5000 0.2264 0.7500
Nd: 0.5000 0.7736 0.2500
C: 0.0000 0.5000 0.0000
C: 0.0000 0.5000 0.5000
N: 0.1800 0.2916 0.0342
N: 0.1800 0.7084 0.5342
N: 0.8200 0.2916 0.4658
N: 0.8200 0.7084 0.9658

Calculated values
Uncorrected energy, eV per cell: -69.1
Formation energy (no corrections), eV per atom: -0.4024

# 17
LiCNO2 | PBE | optimized geometry

a = 4.3266 Å, b = 4.3266 Å, c = 2.4609 Å
α = 90.00°, β = 90.00°, γ = 90.00°
Positions (direct):
Li: 0.0000 0.0000 0.0000
C: 0.5000 0.5000 0.5000
N: 0.5000 0.5000 0.0000
O: 0.0000 0.5000 0.5000
O: 0.5000 0.0000 0.5000

Calculated values
Uncorrected energy, eV per cell: -26.6
Formation energy (no corrections), eV per atom: 0.5530

# 18
LiCNO2 | PBE | optimized geometry

a = 3.5522 Å, b = 3.5522 Å, c = 4.0445 Å
α = 90.00°, β = 90.00°, γ = 90.00°
Positions (direct):
Li: 0.0000 0.0000 0.0000
C: 0.5000 0.5000 0.5000
N: 0.0000 0.0000 0.5000
O: 0.0000 0.5000 0.0000
O: 0.5000 0.0000 0.0000

Calculated values
Uncorrected energy, eV per cell: -18.2
Formation energy (no corrections), eV per atom: 2.2259

# 19
Li2PCN | PBE | optimized geometry

a = 4.8640 Å, b = 4.8640 Å, c = 3.3643 Å
α = 90.00°, β = 90.00°, γ = 90.00°
Positions (direct):
Li: 0.0000 0.5000 0.0000
Li: 0.5000 0.0000 0.0000
P: 0.0000 0.0000 0.0000
C: 0.5000 0.5000 0.5000
N: 0.0000 0.0000 0.5000

Calculated values
Uncorrected energy, eV per cell: -20.5
Formation energy (no corrections), eV per atom: 1.2583

# 20
LiPa2CN5 | PBE | optimized geometry

a = 6.1800 Å, b = 6.1800 Å, c = 12.2767 Å
α = 90.00°, β = 90.00°, γ = 145.26°
Positions (direct):
Li: 0.1915 0.8085 0.5000
Li: 0.8085 0.1915 0.0000
Pa: 0.0951 0.9049 0.1204
Pa: 0.1616 0.8384 0.7745
Pa: 0.8384 0.1616 0.2745
Pa: 0.9049 0.0951 0.6204
C: 0.4143 0.5857 0.8554
C: 0.5857 0.4143 0.3554
N: 0.0840 0.9160 0.6274
N: 0.2485 0.7515 0.2349
N: 0.3305 0.6695 0.9138
N: 0.3622 0.6378 0.5409
N: 0.4965 0.5035 0.7897
N: 0.5035 0.4965 0.2897
N: 0.6378 0.3622 0.0409
N: 0.6695 0.3305 0.4138
N: 0.7515 0.2485 0.7349
N: 0.9160 0.0840 0.1274

Calculated values
Uncorrected energy, eV per cell: -159.2
Formation energy (no corrections), eV per atom: -0.8738

# 21
LiPd2CN | PBE | optimized geometry

a = 3.9695 Å, b = 3.9695 Å, c = 4.1451 Å
α = 90.00°, β = 90.00°, γ = 90.00°
Positions (direct):
Li: 0.0000 0.0000 0.0000
Pd: 0.0000 0.5000 0.5000
Pd: 0.5000 0.0000 0.5000
C: 0.0000 0.0000 0.5000
N: 0.5000 0.5000 0.0000

Calculated values
Uncorrected energy, eV per cell: -24.8
Formation energy (no corrections), eV per atom: 1.0171

# 22
LiPmCN2 | PBE | optimized geometry

a = 5.7094 Å, b = 3.6198 Å, c = 5.9633 Å
α = 90.00°, β = 104.20°, γ = 90.00°
Positions (direct):
Li: 0.0000 0.0192 0.2500
Li: 0.0000 0.9808 0.7500
Pm: 0.5000 0.2236 0.7500
Pm: 0.5000 0.7764 0.2500
C: 0.0000 0.5000 0.0000
C: 0.0000 0.5000 0.5000
N: 0.1838 0.2906 0.0375
N: 0.1838 0.7094 0.5375
N: 0.8162 0.2906 0.4625
N: 0.8162 0.7094 0.9625

Calculated values
Uncorrected energy, eV per cell: -69.0
Formation energy (no corrections), eV per atom: -0.3969

# 23
LiPr3C2N6 | PBE | optimized geometry

a = 5.4445 Å, b = 5.4445 Å, c = 6.1860 Å
α = 90.00°, β = 90.00°, γ = 120.00°
Positions (direct):
Li: 0.0000 0.0000 0.0000
Pr: 0.0000 0.0000 0.5000
Pr: 0.3333 0.6667 0.1622
Pr: 0.6667 0.3333 0.8378
C: 0.3333 0.6667 0.7553
C: 0.6667 0.3333 0.2447
N: 0.1887 0.3774 0.7734
N: 0.1887 0.8113 0.7734
N: 0.3774 0.1887 0.2266
N: 0.6226 0.8113 0.7734
N: 0.8113 0.1887 0.2266
N: 0.8113 0.6226 0.2266

Calculated values
Uncorrected energy, eV per cell: -93.9
Formation energy (no corrections), eV per atom: -0.7746

# 24
RbLiCN2 | PBE | optimized geometry

a = 5.9003 Å, b = 4.4533 Å, c = 6.1112 Å
α = 90.00°, β = 105.91°, γ = 90.00°
Positions (direct):
Rb: 0.0000 0.2445 0.2500
Rb: 0.0000 0.7555 0.7500
Li: 0.5000 0.0141 0.7500
Li: 0.5000 0.9859 0.2500
C: 0.5000 0.5000 0.0000
C: 0.5000 0.5000 0.5000
N: 0.3573 0.2876 0.9662
N: 0.3573 0.7124 0.4662
N: 0.6427 0.2876 0.5338
N: 0.6427 0.7124 0.0338

Calculated values
Uncorrected energy, eV per cell: -62.5
Formation energy (no corrections), eV per atom: -0.5007